<w>
TbTh3 | PBE | optimized geometry

Cell and atoms, written as extended XYZ:
```
4
Lattice="5.050 0.000 0.000 0.000 5.050 0.000 0.000 0.000 5.050" Properties=species:S:1:pos:R:3 pbc="T T T"
Tb 0.000 0.000 0.000
Th 0.000 2.525 2.525
Th 2.525 0.000 2.525
Th 2.525 2.525 0.000
```

## Properties
spin magnetization	0.000	μB/atom
space-group type	Pm-3m (221)

<x>
TbTh3 | PBE | optimized geometry

Cell and atoms, written as extended XYZ:
```
4
Lattice="-2.519 2.519 5.065 2.519 -2.519 5.065 2.519 2.519 -5.065" Properties=species:S:1:pos:R:3 pbc="T T T"
Tb 0.000 0.000 0.000
Th 2.519 0.000 2.533
Th 0.000 0.000 5.065
Th 0.000 2.519 2.533
```

## Properties
spin magnetization	0.000	μB/atom
space-group type	I4/mmm (139)

Stability check: which of them is most stable? <x>.

<w>
TbTh3 | PBE | optimized geometry

Cell and atoms, written as extended XYZ:
```
4
Lattice="-1.779 5.901 3.090 1.779 -5.901 3.090 1.779 5.901 -3.090" Properties=species:S:1:pos:R:3 pbc="T T T"
Tb 0.000 0.000 0.000
Th 1.779 2.936 1.099
Th 0.000 5.901 0.048
Th 0.000 2.965 4.189
```

## Properties
spin magnetization	0.000	μB/atom
space-group type	Imm2 (44)

<x>
TbTh3 | PBE | optimized geometry

Cell and atoms, written as extended XYZ:
```
4
Lattice="0.000 4.017 4.017 4.017 0.000 4.017 4.017 4.017 0.000" Properties=species:S:1:pos:R:3 pbc="T T T"
Tb 0.000 0.000 0.000
Th 2.009 2.009 2.009
Th 4.017 4.017 4.017
Th 6.026 6.026 6.026
```

## Properties
spin magnetization	0.000	μB/atom
space-group type	Fm-3m (225)

Stability check: which of them is most stable? <w>.

<w>
TbTh3 | PBE | optimized geometry

Cell and atoms, written as extended XYZ:
```
12
Lattice="3.574 2.064 8.793 -3.574 2.064 8.793 0.000 -4.127 8.793" Properties=species:S:1:pos:R:3 pbc="T T T"
Tb 0.000 0.000 0.000
Tb 0.000 0.000 5.880
Tb 0.000 0.000 20.499
Th -1.787 -1.032 8.793
Th -1.802 -1.040 14.656
Th 0.000 -2.081 11.723
Th -1.802 1.040 11.723
Th -1.787 1.032 17.586
Th 0.000 2.064 8.793
Th 1.802 -1.040 14.656
Th 0.000 2.081 14.656
Th 1.802 1.040 11.723
```

## Properties
spin magnetization	0.000	μB/atom
space-group type	R-3m (166)

<x>
TbTh3 | PBE | optimized geometry

Cell and atoms, written as extended XYZ:
```
4
Lattice="3.556 0.000 0.000 0.000 5.904 0.000 0.000 0.000 6.165" Properties=species:S:1:pos:R:3 pbc="T T T"
Tb 0.000 0.000 0.000
Th 0.000 2.952 4.147
Th 1.778 0.000 3.101
Th 1.778 2.952 1.055
```

## Properties
spin magnetization	0.000	μB/atom
space-group type	Pmm2 (25)

Stability check: which of them is most stable? <x>.

<w>
TbTh2 | PBE | optimized geometry

Cell and atoms, written as extended XYZ:
```
6
Lattice="0.000 4.685 4.685 4.685 0.000 4.685 4.685 4.685 0.000" Properties=species:S:1:pos:R:3 pbc="T T T"
Tb 1.171 1.171 1.171
Tb 8.199 8.199 8.199
Th 4.685 2.343 2.343
Th 2.343 4.685 2.343
Th 2.343 2.343 4.685
Th 4.685 4.685 4.685
```

## Properties
spin magnetization	0.000	μB/atom
space-group type	Fd-3m (227)

<x>
TbTh2 | PBE | optimized geometry

Cell and atoms, written as extended XYZ:
```
3
Lattice="-1.789 1.789 7.555 1.789 -1.789 7.555 1.789 1.789 -7.555" Properties=species:S:1:pos:R:3 pbc="T T T"
Tb 0.000 0.000 0.000
Th 0.000 0.000 5.005
Th 0.000 0.000 10.105
```

## Properties
spin magnetization	0.000	μB/atom
space-group type	I4/mmm (139)

<y>
TbTh2 | PBE | optimized geometry

Cell and atoms, written as extended XYZ:
```
3
Lattice="-1.799 2.504 5.359 1.799 -2.504 5.359 1.799 2.504 -5.359" Properties=species:S:1:pos:R:3 pbc="T T T"
Tb 0.000 0.000 0.000
Th 0.000 0.000 3.547
Th 0.000 0.000 7.170
```

## Properties
spin magnetization	0.000	μB/atom
space-group type	Immm (71)

<z>
TbTh2 | PBE | optimized geometry

Cell and atoms, written as extended XYZ:
```
6
Lattice="-1.717 1.717 16.690 1.717 -1.717 16.690 1.717 1.717 -16.690" Properties=species:S:1:pos:R:3 pbc="T T T"
Tb 1.717 0.859 4.172
Tb 0.000 0.859 12.517
Th 1.717 -0.859 9.790
Th 1.717 -0.859 15.244
Th 0.000 2.576 1.446
Th 0.000 2.576 6.899
```

## Properties
spin magnetization	0.000	μB/atom
space-group type	I4_1/amd (141)

Stability check: which of them is most stable? <x>.

<w>
Tb5Th4 | PBE | optimized geometry

Cell and atoms, written as extended XYZ:
```
9
Lattice="-6.329 6.329 1.811 6.329 -6.329 1.811 6.329 6.329 -1.811" Properties=species:S:1:pos:R:3 pbc="T T T"
Tb 0.000 0.000 0.000
Tb 4.219 4.219 0.000
Tb 2.109 -2.109 1.811
Tb -2.109 2.109 1.811
Tb 2.109 2.109 1.811
Th 4.262 0.000 0.000
Th 8.395 0.000 0.000
Th 0.000 4.262 0.000
Th 0.000 8.395 0.000
```

## Properties
spin magnetization	0.000	μB/atom
space-group type	I4/mmm (139)

<x>
Tb5Th4 | PBE | optimized geometry

Cell and atoms, written as extended XYZ:
```
9
Lattice="-5.344 5.344 2.532 5.344 -5.344 2.532 5.344 5.344 -2.532" Properties=species:S:1:pos:R:3 pbc="T T T"
Tb 0.000 0.000 0.000
Tb 3.506 0.000 0.000
Tb 7.181 0.000 0.000
Tb 0.000 3.506 0.000
Tb 0.000 7.181 0.000
Th 3.566 3.566 0.000
Th 1.778 -1.778 2.532
Th -1.778 1.778 2.532
Th 1.778 1.778 2.532
```

## Properties
spin magnetization	0.000	μB/atom
space-group type	I4/mmm (139)

Stability check: which of them is most stable? <x>.

<w>
Tb4ThTl | PBE | optimized geometry

Cell and atoms, written as extended XYZ:
```
6
Lattice="5.550 -1.734 0.000 5.550 1.734 0.000 -4.940 0.000 9.898" Properties=species:S:1:pos:R:3 pbc="T T T"
Tb -0.058 0.000 3.470
Tb 3.022 0.000 1.580
Tb 3.137 0.000 8.318
Tb 6.218 0.000 6.428
Th 0.000 0.000 0.000
Tl 3.080 0.000 4.949
```

## Properties
spin magnetization	0.000	μB/atom
space-group type	C2/m (12)

<x>
Tb4ThTl | PBE | optimized geometry

Cell and atoms, written as extended XYZ:
```
6
Lattice="3.607 0.000 0.000 0.000 3.607 0.000 0.000 0.000 14.248" Properties=species:S:1:pos:R:3 pbc="T T T"
Tb 0.000 0.000 2.114
Tb 0.000 0.000 12.134
Tb 1.804 1.804 4.712
Tb 1.804 1.804 9.536
Th 0.000 0.000 7.124
Tl 1.804 1.804 0.000
```

## Properties
spin magnetization	0.000	μB/atom
space-group type	P4/mmm (123)

Stability check: which of them is most stable? <x>.